DFT (GGA-PBE) results for an optimized crystal structure of LiHfAu.

The structure in POSCAR format:
```
LiHfAu
1.0
-3.672 -2.458 -0.621
-3.758 1.014 2.181
-3.477 1.704 -2.218
Au Hf Li
1 1 1
Cartesian
0.000 0.000 0.000
-2.727 0.065 -0.164
-8.180 0.195 -0.493
```

relative energy among the computed polymorphs	0.000	eV per atom

=====

DFT (GGA-PBE) results for an optimized crystal structure of ScNiGePt.

The structure in POSCAR format:
```
ScNiGePt
1.0
0.000 3.129 3.129
3.129 0.000 3.129
3.129 3.129 0.000
Ge Ni Pt Sc
1 1 1 1
Cartesian
0.000 0.000 0.000
4.694 4.694 4.694
1.565 1.565 1.565
3.129 3.129 3.129
```

relative energy among the computed polymorphs	0.000	eV per atom

=====

DFT (GGA-PBE) results for an optimized crystal structure of RbYNiS3.

The structure in POSCAR format:
```
RbYNiS3
1.0
-0.400 4.275 9.598
-2.737 -2.653 1.068
10.406 -8.954 4.421
Ni Rb S Y
4 4 12 4
Cartesian
-0.117 -0.661 9.067
0.805 -3.419 4.574
6.464 -3.913 10.514
7.386 -6.672 6.021
-2.043 -1.078 3.092
2.754 -3.240 10.014
4.516 -4.093 5.074
9.312 -6.254 11.996
-0.972 -0.624 6.965
-1.050 0.861 10.457
1.304 -1.351 3.654
2.122 -0.090 8.886
1.592 -3.377 6.695
1.803 -4.977 3.260
5.467 -2.355 11.828
5.678 -3.955 8.393
5.147 -7.243 6.201
5.965 -5.981 11.433
8.319 -8.193 4.631
8.241 -6.708 8.123
1.663 -0.670 6.265
1.962 -2.894 1.508
5.307 -4.439 13.579
5.607 -6.662 8.822
```

relative energy among the computed polymorphs	0.024	eV per atom

=====

DFT (GGA-PBE) results for an optimized crystal structure of Tb2GaSi.

The structure in POSCAR format:
```
Tb2GaSi
1.0
-3.494 -4.201 1.967
3.153 -1.988 1.353
0.930 5.675 6.171
Ga Si Tb
2 2 4
Cartesian
-1.164 -1.533 3.366
1.754 1.018 6.125
-0.444 -3.906 4.012
1.034 3.392 5.480
1.434 -2.301 1.995
0.468 1.063 3.377
0.121 -1.578 6.115
-0.844 1.786 7.497
```

=====

DFT (GGA-PBE) results for an optimized crystal structure of DyMg.

The structure in POSCAR format:
```
DyMg
1.0
0.000 3.118 3.118
3.118 0.000 3.118
3.118 3.118 0.000
Dy Mg
1 1
Cartesian
0.000 0.000 0.000
3.118 3.118 3.118
```

=====

DFT (GGA-PBE) results for an optimized crystal structure of Li2Mg2Tl2NiPt.

The structure in POSCAR format:
```
Li2Mg2Tl2NiPt
1.0
-4.216 1.479 0.952
-1.086 -4.133 1.614
1.971 1.799 5.931
Li Mg Ni Pt Tl
2 2 1 1 2
Cartesian
0.000 0.000 0.000
-1.665 -0.427 4.249
-0.044 -1.611 2.308
-0.636 2.083 4.906
-2.651 -1.327 1.283
0.985 0.900 2.966
-1.655 1.153 1.840
0.975 -0.681 5.374
```

=====

DFT (GGA-PBE) results for an optimized crystal structure of SmCuSi2Tc.

The structure in POSCAR format:
```
SmCuSi2Tc
1.0
-2.019 2.019 5.176
2.019 -2.019 5.176
2.019 2.019 -5.176
Cu Si Sm Tc
1 2 1 1
Cartesian
0.000 0.000 0.000
0.000 2.019 1.340
0.000 2.019 3.836
2.019 0.000 2.588
0.000 0.000 5.176
```

=====

DFT (GGA-PBE) results for an optimized crystal structure of TlCuSiNi.

The structure in POSCAR format:
```
TlCuSiNi
1.0
0.000 3.134 3.134
3.134 0.000 3.134
3.134 3.134 0.000
Cu Ni Si Tl
1 1 1 1
Cartesian
4.701 4.701 4.701
1.567 1.567 1.567
0.000 0.000 0.000
3.134 3.134 3.134
```

relative energy among the computed polymorphs	0.000	eV per atom

=====

DFT (GGA-PBE) results for an optimized crystal structure of RbNi3Ge5.

The structure in POSCAR format:
```
RbNi3Ge5
1.0
-0.381 -3.622 -3.256
4.017 2.778 0.104
3.729 -5.609 5.804
Ge Ni Rb
5 3 1
Cartesian
2.080 -2.986 -0.587
3.546 -0.852 0.533
1.864 -2.805 2.902
3.819 -5.601 2.120
5.285 -3.468 3.240
1.674 -4.616 1.274
3.873 -1.416 2.954
3.682 -3.227 1.326
0.000 0.000 0.000
```

=====

DFT (GGA-PBE) results for an optimized crystal structure of RbZrNO.

The structure in POSCAR format:
```
RbZrNO
1.0
3.579 0.000 0.000
0.000 7.094 0.000
0.000 0.000 6.371
N O Rb Zr
2 2 2 2
Cartesian
0.000 7.088 1.583
0.000 0.006 4.768
1.789 4.815 3.183
1.789 2.278 6.368
1.789 1.985 3.179
1.789 5.109 6.364
0.000 5.882 3.179
0.000 1.212 6.364
```

relative energy among the computed polymorphs	0.011	eV per atom

=====

DFT (GGA-PBE) results for an optimized crystal structure of Gd2Th2I.

The structure in POSCAR format:
```
Gd2Th2I
1.0
1.796 -5.421 0.000
1.796 5.421 0.000
0.000 0.000 20.579
I Th Gd
2 4 4
Cartesian
1.796 -0.560 5.145
1.796 0.560 15.435
1.796 -3.957 0.755
1.796 -3.957 9.535
1.796 3.957 11.045
1.796 3.957 19.824
1.796 3.966 2.613
1.796 3.966 7.676
1.796 -3.966 12.903
1.796 -3.966 17.966
```

=====

DFT (GGA-PBE) results for an optimized crystal structure of TbHo2Cu4Si2Sn2.

The structure in POSCAR format:
```
TbHo2Cu4Si2Sn2
1.0
-2.113 3.437 7.086
2.113 -3.437 7.086
2.113 3.437 -7.086
Cu Ho Si Sn Tb
4 2 2 2 1
Cartesian
0.000 2.136 4.509
0.000 2.136 9.662
2.113 1.302 2.577
2.113 1.302 -2.577
0.000 3.437 1.911
2.113 0.000 5.175
0.000 0.000 3.065
0.000 0.000 11.107
0.000 1.389 7.086
2.113 2.048 0.000
0.000 0.000 0.000
```

relative energy among the computed polymorphs	0.073	eV per atom

=====

no.,E (eV per atom)
1,-5.10
2,-6.32
3,-5.51
4,-5.18
5,-2.67
6,-3.21
7,-6.49
8,-3.91
9,-4.68
10,-7.35
11,-5.03
12,-4.84